## HfZnSi (PBE)

Data for a relaxed HfZnSi crystal.

Cell: 3.9318 5.3616 9.3519 Å, 90.00 90.00 90.00°
With the nearest neighbours (Å) after each atom.
Fractional positions:
Zn  0.5000  0.2500  0.7500  4 Si 2.57, 2 Zn 2.68
Zn  0.0000  0.7500  0.2500  4 Si 2.57, 2 Zn 2.68
Zn  0.5000  0.7500  0.7500  4 Si 2.57, 2 Zn 2.68
Zn  0.0000  0.2500  0.2500  4 Si 2.57, 2 Zn 2.68
Hf  0.0000  0.5000  0.5495  5 Si 2.69-2.84
Hf  0.0000  0.0000  0.9505  5 Si 2.69-2.84
Hf  0.5000  0.0000  0.4505  5 Si 2.69-2.84
Hf  0.5000  0.5000  0.0495  5 Si 2.69-2.84
Si  0.0000  0.0000  0.6471  4 Zn 2.57, 5 Hf 2.69-2.84
Si  0.0000  0.5000  0.8529  4 Zn 2.57, 5 Hf 2.69-2.84
Si  0.5000  0.0000  0.1471  4 Zn 2.57, 5 Hf 2.69-2.84
Si  0.5000  0.5000  0.3529  4 Zn 2.57, 5 Hf 2.69-2.84

Summary:
Energy relative to the elements, uncorrected: -0.427 eV/atom
DFT total energy: -5.98 eV/atom
Fermi-level density of states: 0.291 states/eV per atom
Calculated volume: 16.43 Å³/atom
Symmetry: Cmcm

=====

## Hf8Zn2Si (PBE)

Data for a relaxed Hf8Zn2Si crystal.

Cell: 4.8330 7.5126 7.5126 Å, 117.39 100.95 100.95°
With the nearest neighbours (Å) after each atom.
Fractional positions:
Hf  0.8967  0.9144  0.6843  2 Zn 2.74-2.88, 4 Hf 2.92-3.07
Hf  0.8967  0.6843  0.9144  2 Zn 2.74-2.88, 4 Hf 2.92-3.07
Hf  0.3062  0.6114  0.6114  1 Si 2.83, 4 Hf 2.83-3.07, 2 Zn 2.84
Hf  0.5000  0.7813  0.2187  2 Zn 2.68, 1 Si 2.81
Hf  0.5000  0.2187  0.7813  2 Zn 2.68, 1 Si 2.81
Hf  0.6938  0.3886  0.3886  1 Si 2.83, 4 Hf 2.83-3.07, 2 Zn 2.84
Hf  0.1033  0.3157  0.0856  2 Zn 2.74-2.88, 4 Hf 2.92-3.07
Hf  0.1033  0.0856  0.3157  2 Zn 2.74-2.88, 4 Hf 2.92-3.07
Zn  0.0000  0.3085  0.6915  8 Hf 2.68-2.88
Zn  0.0000  0.6915  0.3085  8 Hf 2.68-2.88
Si  0.5000  0.0000  0.0000  8 Hf 2.81-3.13

Summary:
Energy relative to the elements, uncorrected: 0.011 eV/atom
DFT total energy: -7.95 eV/atom
Fermi-level density of states: 0.996 states/eV per atom
Calculated volume: 20.49 Å³/atom
Symmetry: C2/m

=====

## HfZnSi (PBE)

Data for a relaxed HfZnSi crystal.

Cell: 4.2256 4.2257 7.1796 Å, 72.97 72.97 59.97°
With the nearest neighbours (Å) after each atom.
Fractional positions:
Hf  0.4533  0.0742  0.7203  1 Zn 2.64, 6 Si 2.82-2.84
Hf  0.6012  0.2221  0.2770  3 Zn 2.69, 6 Si 2.88-2.91, 1 Hf 3.00
Zn  0.3232  0.9442  0.1104  3 Zn 2.56, 4 Hf 2.64-2.69, 1 Si 2.66
Zn  0.0281  0.6490  0.9968  3 Zn 2.56
Si  0.8561  0.4769  0.5119  3 Si 2.44
Si  0.1918  0.8127  0.5048  3 Si 2.44, 1 Zn 2.66

Summary:
Energy relative to the elements, uncorrected: -0.134 eV/atom
DFT total energy: -5.68 eV/atom
Fermi-level density of states: 0.451 states/eV per atom
Calculated volume: 17.41 Å³/atom
Symmetry: Cm

=====

## Hf4ZnSi (PBE)

Data for a relaxed Hf4ZnSi crystal.

Cell: 5.1300 6.6971 6.6971 Å, 90.00 90.00 90.00°
With the nearest neighbours (Å) after each atom.
Fractional positions:
Hf  0.0000  0.1574  0.6495  2 Si 2.81, 2 Zn 2.88, 1 Hf 2.91
Hf  0.0000  0.8426  0.3505  2 Si 2.81, 2 Zn 2.88, 1 Hf 2.91
Hf  0.0000  0.3505  0.1574  2 Si 2.81, 2 Zn 2.88, 1 Hf 2.91
Hf  0.0000  0.6495  0.8426  2 Si 2.81, 2 Zn 2.88, 1 Hf 2.91
Hf  0.5000  0.8426  0.6495  2 Si 2.81, 2 Zn 2.88, 1 Hf 2.91
Hf  0.5000  0.1574  0.3505  2 Si 2.81, 2 Zn 2.88, 1 Hf 2.91
Hf  0.5000  0.6495  0.1574  2 Si 2.81, 2 Zn 2.88, 1 Hf 2.91
Hf  0.5000  0.3505  0.8426  2 Si 2.81, 2 Zn 2.88, 1 Hf 2.91
Zn  0.2500  0.0000  0.0000  2 Zn 2.56
Zn  0.7500  0.0000  0.0000  2 Zn 2.56
Si  0.2500  0.5000  0.5000  2 Si 2.56, 8 Hf 2.81
Si  0.7500  0.5000  0.5000  2 Si 2.56, 8 Hf 2.81

Summary:
Energy relative to the elements, uncorrected: -0.416 eV/atom
DFT total energy: -8.17 eV/atom
Fermi-level density of states: 0.948 states/eV per atom
Calculated volume: 19.17 Å³/atom
Symmetry: P4/mcc

=====

## HfZnSi (PBE)

Data for a relaxed HfZnSi crystal.

Cell: 3.6889 3.6889 4.7100 Å, 113.05 113.05 90.00°
With the nearest neighbours (Å) after each atom.
Fractional positions:
Zn  0.2743  0.2743  0.5486  1 Si 2.46, 1 Hf 2.67
Hf  0.6145  0.6145  0.2290  5 Zn 2.67-2.89, 5 Si 2.72-2.87
Si  0.9612  0.9612  0.9224  1 Zn 2.46, 1 Hf 2.72

Summary:
Energy relative to the elements, uncorrected: 0.014 eV/atom
DFT total energy: -5.54 eV/atom
Fermi-level density of states: 0.800 states/eV per atom
Calculated volume: 17.79 Å³/atom
Symmetry: I4mm

=====

## HfZnSi2 (PBE)

Data for a relaxed HfZnSi2 crystal.

Cell: 6.9974 6.9974 5.6922 Å, 52.07 52.07 90.00°
With the nearest neighbours (Å) after each atom.
Fractional positions:
Zn  0.5000  0.5000  0.0000  4 Si 2.42
Zn  0.2500  0.7500  0.5000  4 Si 2.42
Hf  0.0000  0.0000  0.0000  4 Si 2.74, 2 Zn 2.81
Hf  0.7500  0.2500  0.5000  4 Si 2.74, 2 Zn 2.81
Si  0.5909  0.1250  0.2500  2 Zn 2.42
Si  0.1591  0.6250  0.2500  2 Zn 2.42
Si  0.3750  0.4091  0.7500  2 Zn 2.42
Si  0.8750  0.8409  0.7500  2 Zn 2.42

Summary:
Energy relative to the elements, uncorrected: 0.063 eV/atom
DFT total energy: -5.45 eV/atom
Fermi-level density of states: 0.273 states/eV per atom
Calculated volume: 17.22 Å³/atom
Symmetry: I-42d

=====

## HfZn2Si (PBE)

Data for a relaxed HfZn2Si crystal.

Cell: 4.1724 3.8960 3.8960 Å, 90.00 90.00 90.00°
With the nearest neighbours (Å) after each atom.
Fractional positions:
Zn  0.0000  0.0000  0.5000  4 Zn 2.75, 4 Hf 2.85, 4 Si 2.85
Zn  0.0000  0.5000  0.0000  4 Zn 2.75, 4 Hf 2.85, 4 Si 2.85
Hf  0.5000  0.0000  0.0000  4 Si 2.75, 8 Zn 2.85
Si  0.5000  0.5000  0.5000  4 Hf 2.75, 8 Zn 2.85

Summary:
Energy relative to the elements, uncorrected: -0.305 eV/atom
DFT total energy: -4.79 eV/atom
Fermi-level density of states: 0.272 states/eV per atom
Calculated volume: 15.83 Å³/atom
Symmetry: P4/mmm

=====

## HfZrSi (PBE)

Data for a relaxed HfZrSi crystal.

Cell: 3.5416 5.2332 7.0730 Å, 109.71 90.01 109.77°
With the nearest neighbours (Å) after each atom.
Fractional positions:
Hf  0.4070  0.7517  0.0695  5 Si 2.86-3.15, 3 Hf 2.87-3.04, 2 Zr 3.06
Hf  0.7191  0.3767  0.2266  5 Si 2.86-3.15, 3 Hf 2.87-3.04, 2 Zr 3.06
Zr  0.4106  0.7585  0.5721  3 Zr 2.81-3.07, 4 Si 2.89-2.90, 2 Hf 3.06
Zr  0.7155  0.3698  0.7240  3 Zr 2.81-3.07, 4 Si 2.89-2.90, 2 Hf 3.06
Si  0.0643  0.0666  0.9046  5 Hf 2.86-3.15, 4 Zr 2.89-2.90
Si  0.0618  0.0617  0.3915  5 Hf 2.86-3.15, 4 Zr 2.89-2.90

Summary:
Energy relative to the elements, uncorrected: -0.438 eV/atom
DFT total energy: -8.41 eV/atom
Fermi-level density of states: 0.594 states/eV per atom
Calculated volume: 19.19 Å³/atom
Symmetry: C2/m

=====

## HfZr3Si (PBE)

Data for a relaxed HfZr3Si crystal.

Cell: 4.9717 4.9717 4.9717 Å, 90.00 90.00 90.00°
With the nearest neighbours (Å) after each atom.
Fractional positions:
Si  0.0000  0.0000  0.0000  6 Zr 2.49
Hf  0.5000  0.5000  0.5000  12 Zr 3.52
Zr  0.0000  0.5000  0.0000  2 Si 2.49
Zr  0.0000  0.0000  0.5000  2 Si 2.49
Zr  0.5000  0.0000  0.0000  2 Si 2.49

Summary:
Energy relative to the elements, uncorrected: 0.218 eV/atom
Offset from the most stable computed form: 0 meV/atom
DFT total energy: -7.99 eV/atom
Fermi-level density of states: 1.713 states/eV per atom
Calculated volume: 24.58 Å³/atom
Symmetry: Pm-3m

=====

## HfZr2Si (PBE)

Data for a relaxed HfZr2Si crystal.

Cell: 3.6322 5.5902 8.5713 Å, 90.00 90.00 109.02°
With the nearest neighbours (Å) after each atom.
Fractional positions:
Hf  0.9357  0.8710  0.2500  2 Si 2.80
Hf  0.0643  0.1290  0.7500  2 Si 2.80
Zr  0.3638  0.7267  0.5421  3 Si 2.75-2.85, 1 Zr 2.98
Zr  0.6362  0.2733  0.4579  3 Si 2.75-2.85, 1 Zr 2.98
Zr  0.3638  0.7267  0.9579  3 Si 2.75-2.85, 1 Zr 2.98
Zr  0.6362  0.2733  0.0421  3 Si 2.75-2.85, 1 Zr 2.98
Si  0.7660  0.5317  0.7500  6 Zr 2.75-2.85, 2 Hf 2.80
Si  0.2340  0.4683  0.2500  6 Zr 2.75-2.85, 2 Hf 2.80

Summary:
Energy relative to the elements, uncorrected: -0.490 eV/atom
DFT total energy: -8.61 eV/atom
Fermi-level density of states: 0.884 states/eV per atom
Calculated volume: 20.57 Å³/atom
Symmetry: Cmcm